The following is a GGA-PBE calculation of a geometry-optimized FeTeP2 structure, from the Alexandria database.

Calculated values
- calculated volume (Å³ per atom) = 17.5
- electronic total energy (eV for the cell shown) = -21.8

The structure in POSCAR format:
```
FeTeP2
1.0
7.8038 0.0515 0.0307
7.1008 3.2374 0.0307
7.1008 1.5669 2.8331
Fe P Te
1 2 1
Direct
0.7500 0.7500 0.7500 Fe
0.0289 0.0289 0.0289 P
0.4711 0.4711 0.4711 P
0.2500 0.2500 0.2500 Te
```